A relaxed structure of YMgZn. Source: OQMD, functional PBE.

Properties
**Relative energy among the computed polymorphs**: 81 meV/atom
**Total magnetic moment**: 0.005 μB/f.u.
**Symmetry**: P1
**Calculated density**: 4.4 g/cm³

abc: 4.9386 4.9349 9.5955
angles: 90.06 89.99 119.99
Fractional positions:
Mg 0.3558 0.6332 0.1947
Mg 0.0206 0.9667 0.5866
Mg 0.3535 0.6339 0.8605
Y 0.6895 0.3000 0.3776
Y 0.6870 0.3003 0.7368
Y 0.0206 0.9671 0.9954
Zn 0.6871 0.3004 0.0618
Zn 0.0239 0.9668 0.2927
Zn 0.3543 0.6333 0.5416